## Cs2Ho2PtO6 (GGA-PBE)

Data for crystalline Cs2Ho2PtO6 at its relaxed geometry.

```
data_Cs2Ho2PtO6
_chemical_formula_sum 'Cs4 Ho4 Pt2 O12'
_space_group_name_H-M_alt 'C 1 2/m 1'
_space_group_IT_number 12
_cell_length_a 5.8801
_cell_length_b 10.0955
_cell_length_c 7.1915
_cell_angle_alpha 90.00
_cell_angle_beta 104.62
_cell_angle_gamma 90.00
loop_
_space_group_symop_operation_xyz
'x,y,z'
'-x,-y,-z'
'-x,y,-z'
'x,-y,z'
'x+1/2,y+1/2,z'
'-x+1/2,-y+1/2,-z'
'-x+1/2,y+1/2,-z'
'x+1/2,-y+1/2,z'
loop_
_atom_site_label
_atom_site_type_symbol
_atom_site_fract_x
_atom_site_fract_y
_atom_site_fract_z
Cs1 Cs 0.0000 0.1656 0.0000
Ho1 Ho 0.0000 0.3347 0.5000
Pt1 Pt 0.0000 0.0000 0.5000
O1 O 0.2034 0.1567 0.6548
O2 O 0.2398 0.5000 0.6562
```

Results
E_form (uncorrected) = -2097 meV/atom
Mass density = 7.129 Mg/m³